SrTlMo2 | PBEsol | relaxed

Properties
For the uncorrected energy, the calculation gives -23.7 eV/cell. For the energy relative to the elements, the calculation gives 4.3 eV/f.u. As for the space group: Immm, No. 71. The value obtained for the magnetic moment is 0.000 μB per cell.

abc: 3.4667 4.7761 5.8198
angles: 114.23 107.33 90.00
Atoms (fractional coordinates):
1 Tl 0.0000 0.5000 0.0000
2 Mo 0.2625 0.2625 0.5250
3 Mo 0.7375 0.7375 0.4750
4 Sr 0.5000 0.0000 0.0000

***

AlCrF2 | PBEsol | relaxed

Properties
For the formation energy from raw total energies, the calculation gives -1.00 eV per atom. For the uncorrected energy, the calculation gives -22.2 eV/cell. As for the space group: R-3m, No. 166. The value obtained for the magnetic moment is 3.427 μB per cell.

abc: 3.8598 3.8598 4.8649
angles: 66.63 66.63 60.00
Atoms (fractional coordinates):
1 Cr 0.0000 0.0000 0.0000
2 F 0.1500 0.1500 0.5499
3 F 0.8500 0.8500 0.4501
4 Al 0.5000 0.5000 0.5000

***

AlMoP2Cl | PBEsol | relaxed

Properties
For the formation energy from raw total energies, the calculation gives 0.81 eV per atom. For the uncorrected energy, the calculation gives -25.4 eV/cell. As for the space group: P4/mmm, No. 123. The value obtained for the magnetic moment is 2.962 μB per cell.

abc: 4.4530 4.6231 4.6231
angles: 90.00 90.00 90.00
Atoms (fractional coordinates):
1 P 0.0000 0.0000 0.5000
2 P 0.0000 0.5000 0.0000
3 Mo 0.5000 0.5000 0.5000
4 Al 0.0000 0.0000 0.0000
5 Cl 0.5000 0.0000 0.0000

***

TlP2WCl | PBEsol | relaxed

Properties
For the formation energy from raw total energies, the calculation gives 1.57 eV per atom. For the uncorrected energy, the calculation gives -22.2 eV/cell. As for the space group: P4/mmm, No. 123. The value obtained for the magnetic moment is 0.603 μB per cell.

abc: 4.3623 4.8129 4.8129
angles: 90.00 90.00 90.00
Atoms (fractional coordinates):
1 P 0.0000 0.0000 0.5000
2 P 0.0000 0.5000 0.0000
3 Cl 0.0000 0.0000 0.0000
4 Tl 0.5000 0.5000 0.5000
5 W 0.5000 0.0000 0.0000

***

TaAs4 | PBEsol | relaxed

Properties
For the uncorrected energy, the calculation gives -31.8 eV/cell. For the energy relative to the elements, the calculation gives 1.2 eV/f.u. As for the space group: I4/mmm, No. 139. The value obtained for the magnetic moment is 0.012 μB per cell.

abc: 3.4565 3.4565 8.7731
angles: 101.36 101.36 90.00
Atoms (fractional coordinates):
1 As 0.7500 0.2500 0.5000
2 As 0.2500 0.7500 0.5000
3 As 0.5776 0.5776 0.1552
4 As 0.4224 0.4224 0.8448
5 Ta 0.0000 0.0000 0.0000

***

AgTePtSe2 | PBEsol | relaxed

Properties
For the formation energy from raw total energies, the calculation gives 0.91 eV per atom. For the uncorrected energy, the calculation gives -17.0 eV/cell. As for the space group: P4/mmm, No. 123. The value obtained for the magnetic moment is 0.000 μB per cell.

abc: 4.8431 4.8431 5.0225
angles: 90.00 90.00 90.00
Atoms (fractional coordinates):
1 Se 0.0000 0.5000 0.0000
2 Se 0.5000 0.0000 0.0000
3 Pt 0.0000 0.0000 0.5000
4 Ag 0.0000 0.0000 0.0000
5 Te 0.5000 0.5000 0.5000

***

Tb2PdRu | PBEsol | relaxed

Properties
For the uncorrected energy, the calculation gives -28.5 eV/cell. For the energy relative to the elements, the calculation gives -2.3 eV/f.u. As for the space group: Fm-3m, No. 225. The value obtained for the magnetic moment is 0.000 μB per cell.

abc: 4.8144 4.8144 4.8144
angles: 60.00 60.00 60.00
Atoms (fractional coordinates):
1 Pd 0.0000 0.0000 0.0000
2 Tb 0.7500 0.7500 0.7500
3 Tb 0.2500 0.2500 0.2500
4 Ru 0.5000 0.5000 0.5000

***

Li2MnO2F | PBEsol | relaxed

Properties
For the formation energy from raw total energies, the calculation gives -2.19 eV per atom. For the uncorrected energy, the calculation gives -78.5 eV/cell. As for the space group: C2/m, No. 12. The value obtained for the magnetic moment is 8.010 μB per cell.

abc: 2.8023 3.0014 14.2644
angles: 94.21 90.00 117.83
Atoms (fractional coordinates):
1 Mn 0.6733 0.3467 0.3302
2 Mn 0.3267 0.6533 0.6698
3 F 0.3251 0.6501 0.9199
4 F 0.6749 0.3499 0.0801
5 Li 0.0000 0.0000 0.5000
6 Li 0.6556 0.3112 0.8398
7 Li 0.3444 0.6888 0.1602
8 Li 0.0000 0.0000 0.0000
9 O 0.3121 0.6243 0.4102
10 O 0.9658 0.9316 0.7497
11 O 0.0342 0.0684 0.2503
12 O 0.6879 0.3757 0.5898

***

MoIrPt2 | PBEsol | relaxed

Properties
For the uncorrected energy, the calculation gives -36.2 eV/cell. For the energy relative to the elements, the calculation gives -0.7 eV/f.u. As for the space group: R3m, No. 160. The value obtained for the magnetic moment is 0.000 μB per cell.

abc: 2.7362 2.7362 9.2377
angles: 81.48 81.48 60.00
Atoms (fractional coordinates):
1 Ir 0.5034 0.5034 0.4899
2 Pt 0.9972 0.9972 0.0082
3 Pt 0.7508 0.7508 0.7475
4 Mo 0.2485 0.2485 0.2544

***

YC2Se | PBEsol | relaxed

Properties
For the formation energy from raw total energies, the calculation gives 0.87 eV per atom. For the uncorrected energy, the calculation gives -53.0 eV/cell. As for the space group: I-42d, No. 122. The value obtained for the magnetic moment is 0.000 μB per cell.

abc: 5.3768 5.3768 5.3768
angles: 82.52 64.22 115.78
Atoms (fractional coordinates):
1 C 0.0615 0.6250 0.8135
2 C 0.9385 0.1250 0.4365
3 C 0.4385 0.8135 0.1250
4 C 0.5615 0.4365 0.6250
5 Se 0.5000 0.7500 0.7500
6 Se 0.0000 0.5000 0.5000
7 Y 0.5000 0.2500 0.2500
8 Y 0.0000 0.0000 0.0000

***

Cu2NiOs | PBEsol | relaxed

Properties
For the uncorrected energy, the calculation gives -26.2 eV/cell. For the energy relative to the elements, the calculation gives 0.9 eV/f.u. As for the space group: C2/m, No. 12. The value obtained for the magnetic moment is 0.003 μB per cell.

abc: 2.5268 4.4441 4.4682
angles: 99.60 106.42 90.00
Atoms (fractional coordinates):
1 Ni 0.5000 0.0000 0.0000
2 Cu 0.2477 0.2440 0.4954
3 Cu 0.7523 0.7560 0.5046
4 Os 0.0000 0.5000 0.0000

***

KTe2Cl | PBEsol | relaxed

Properties
For the formation energy from raw total energies, the calculation gives -0.81 eV per atom. For the uncorrected energy, the calculation gives -13.4 eV/cell. As for the space group: Immm, No. 71. The value obtained for the magnetic moment is 0.000 μB per cell.

abc: 4.1698 4.1462 8.1091
angles: 104.81 104.90 90.00
Atoms (fractional coordinates):
1 Te 0.2737 0.2737 0.5473
2 Te 0.7263 0.7263 0.4527
3 Cl 0.0000 0.5000 0.0000
4 K 0.5000 0.0000 0.0000

***

> Number 11 is which compound?

Cu2NiOs